DFT (PBE) results for crystalline TcPtSe at its relaxed geometry.

abc: 2.9038 2.9038 12.3172
angles: 90.00 90.00 90.00
Closest atoms and distances in Å follow each position.
Element x y z (fractional)
Tc (0.0000, 0.0000, 0.0000)  4 Se 2.57, 4 Pt 2.74
Tc (0.5000, 0.5000, 0.5000)  4 Se 2.57, 4 Pt 2.74
Pt (0.0000, 0.0000, 0.6470)  4 Tc 2.74, 4 Pt 2.90
Pt (0.5000, 0.5000, 0.1470)  4 Tc 2.74, 4 Pt 2.90
Se (0.0000, 0.0000, 0.3739)  4 Tc 2.57
Se (0.5000, 0.5000, 0.8739)  4 Tc 2.57

Properties
The calculation puts the uncorrected formation energy at 65.0 meV/atom. For the total energy, the calculation gives -6.57 eV/atom. The calculation puts the polymorph energy (0 for the lowest one) at 0.0735 eV per atom.



DFT (PBE) results for crystalline TcPtSe2 at its relaxed geometry.

abc: 3.0041 4.2970 5.3857
angles: 90.00 90.00 90.00
Closest atoms and distances in Å follow each position.
Element x y z (fractional)
Tc (0.0000, 0.0000, 0.0000)  4 Se 2.62
Pt (0.5000, 0.0000, 0.5000)  4 Se 2.62
Se (0.0000, 0.5000, 0.5000)  4 Pt 2.62
Se (0.5000, 0.5000, 0.0000)  4 Tc 2.62

Properties
The calculation puts the uncorrected formation energy at 532.7 meV/atom. For the total energy, the calculation gives -5.31 eV/atom. The calculation puts the polymorph energy (0 for the lowest one) at 0.7069 eV per atom.



DFT (PBE) results for crystalline TcPt2Se at its relaxed geometry.

abc: 2.8697 2.8697 27.1256
angles: 90.00 90.00 120.00
Closest atoms and distances in Å follow each position.
Element x y z (fractional)
Tc (0.0000, 0.0000, 0.0000)  6 Pt 2.73, 6 Tc 2.87
Tc (0.3333, 0.6667, 0.6667)  6 Pt 2.73, 6 Tc 2.87
Tc (0.6667, 0.3333, 0.3333)  6 Pt 2.73, 6 Tc 2.87
Pt (0.0000, 0.0000, 0.2534)  3 Tc 2.73, 6 Pt 2.87, 3 Se 2.88
Pt (0.0000, 0.0000, 0.7466)  3 Tc 2.73, 6 Pt 2.87, 3 Se 2.88
Pt (0.3333, 0.6667, 0.4133)  3 Tc 2.73, 6 Pt 2.87, 3 Se 2.88
Pt (0.3333, 0.6667, 0.9200)  3 Tc 2.73, 6 Pt 2.87, 3 Se 2.88
Pt (0.6667, 0.3333, 0.0800)  3 Tc 2.73, 6 Pt 2.87, 3 Se 2.88
Pt (0.6667, 0.3333, 0.5867)  3 Tc 2.73, 6 Pt 2.87, 3 Se 2.88
Se (0.0000, 0.0000, 0.5000)  6 Se 2.87, 6 Pt 2.88
Se (0.3333, 0.6667, 0.1667)  6 Se 2.87, 6 Pt 2.88
Se (0.6667, 0.3333, 0.8333)  6 Se 2.87, 6 Pt 2.88

Properties
The calculation puts the uncorrected formation energy at 174.3 meV/atom. For the total energy, the calculation gives -6.31 eV/atom.



DFT (PBE) results for crystalline TcPt2Se at its relaxed geometry.

abc: 2.9213 4.6323 4.7573
angles: 90.00 90.00 90.00
Closest atoms and distances in Å follow each position.
Element x y z (fractional)
Tc (0.0000, 0.0000, 0.0000)  4 Se 2.74, 4 Pt 2.79, 2 Tc 2.92
Pt (0.0000, 0.5000, 0.5000)  6 Pt 2.74-2.92, 4 Se 2.79
Pt (0.5000, 0.0000, 0.5000)  6 Pt 2.74-2.92, 4 Tc 2.79
Se (0.5000, 0.5000, 0.0000)  4 Tc 2.74, 4 Pt 2.79, 2 Se 2.92

Properties
The calculation puts the uncorrected formation energy at 278.1 meV/atom. For the total energy, the calculation gives -6.20 eV/atom.



DFT (PBE) results for crystalline TcPtSe2 at its relaxed geometry.

abc: 3.8215 3.8215 9.0748
angles: 90.00 90.00 90.00
Closest atoms and distances in Å follow each position.
Element x y z (fractional)
Tc (0.0000, 0.0000, 0.0000)  8 Se 2.70-2.97, 4 Pt 2.97
Tc (0.5000, 0.5000, 0.5000)  8 Se 2.70-2.97, 4 Pt 2.97
Pt (0.0000, 0.5000, 0.7500)  8 Se 2.70-2.97, 4 Tc 2.97
Pt (0.5000, 0.0000, 0.2500)  8 Se 2.70-2.97, 4 Tc 2.97
Se (0.0000, 0.0000, 0.5000)  4 Tc 2.70, 4 Se 2.97, 4 Pt 2.97
Se (0.0000, 0.5000, 0.2500)  4 Pt 2.70, 4 Se 2.97, 4 Tc 2.97
Se (0.5000, 0.0000, 0.7500)  4 Pt 2.70, 4 Se 2.97, 4 Tc 2.97
Se (0.5000, 0.5000, 0.0000)  4 Tc 2.70, 4 Se 2.97, 4 Pt 2.97

Properties
The calculation puts the uncorrected formation energy at 460.0 meV/atom. For the total energy, the calculation gives -5.38 eV/atom. The calculation puts the polymorph energy (0 for the lowest one) at 0.6342 eV per atom.



DFT (PBE) results for crystalline TcPtSe at its relaxed geometry.

abc: 2.9099 4.7822 15.1868
angles: 90.00 90.00 90.00
Closest atoms and distances in Å follow each position.
Element x y z (fractional)
Tc (0.0000, 0.0000, 0.0000)  2 Se 2.50, 2 Pt 2.74
Tc (0.0000, 0.5000, 0.5000)  2 Se 2.50, 2 Pt 2.74
Tc (0.5000, 0.0000, 0.5000)  2 Se 2.50, 2 Pt 2.74
Tc (0.5000, 0.5000, 0.0000)  2 Se 2.50, 2 Pt 2.74
Pt (0.0000, 0.0000, 0.3469)  2 Tc 2.74, 6 Pt 2.80-2.91
Pt (0.0000, 0.5000, 0.8469)  2 Tc 2.74, 6 Pt 2.80-2.91
Pt (0.5000, 0.0000, 0.8469)  2 Tc 2.74, 6 Pt 2.80-2.91
Pt (0.5000, 0.5000, 0.3469)  2 Tc 2.74, 6 Pt 2.80-2.91
Se (0.0000, 0.0000, 0.6336)  2 Tc 2.50
Se (0.0000, 0.5000, 0.1336)  2 Tc 2.50
Se (0.5000, 0.0000, 0.1336)  2 Tc 2.50
Se (0.5000, 0.5000, 0.6336)  2 Tc 2.50

Properties
The calculation puts the uncorrected formation energy at 368.6 meV/atom. For the total energy, the calculation gives -6.26 eV/atom. The calculation puts the polymorph energy (0 for the lowest one) at 0.3771 eV per atom.